InAgW: relaxed, PBE.

Lattice parameters (Å, degrees): 4.7089 4.7089 2.8582 90.00 90.00 120.00
Closest atoms and distances in Å follow each position.
Sites, in units of the cell vectors:
Ag 0.0000 0.0000 0.1667  3 In 2.72, 2 Ag 2.86
W 0.3333 0.6667 0.6664  2 W 2.86, 6 In 3.07, 6 Ag 3.07
In 0.6667 0.3333 0.1669  3 Ag 2.72, 2 In 2.86

Properties
The value obtained for the total moment is 0.29 μB/cell. The formation energy comes out at 0.7414 eV/atom. The value obtained for the density of states at the Fermi level is 3.83 states/eV/cell. The value obtained for the total energy is -16.32 eV for the cell shown.

***

Ac2NiAs3Rh4: relaxed, PBE.

Lattice parameters (Å, degrees): 4.3500 4.3500 10.1972 90.00 90.00 90.00
Closest atoms and distances in Å follow each position.
Sites, in units of the cell vectors:
Ac 0.0000 0.5000 0.7398  6 As 3.27-3.33, 2 Ni 3.27, 8 Rh 3.30-3.43
Ac 0.5000 0.0000 0.2602  6 As 3.27-3.33, 2 Ni 3.27, 8 Rh 3.30-3.43
Rh 0.5000 0.0000 0.6218  3 As 2.49-2.50, 2 Ni 2.50
Rh 0.0000 0.5000 0.3782  3 As 2.49-2.50, 2 Ni 2.50
Rh 0.5000 0.5000 0.0000  4 As 2.57
Rh 0.0000 0.0000 0.0000  4 As 2.57
As 0.0000 0.0000 0.5000  4 Rh 2.50
As 0.5000 0.0000 0.8660  5 Rh 2.49-2.57
As 0.0000 0.5000 0.1340  5 Rh 2.49-2.57
Ni 0.5000 0.5000 0.5000  4 Rh 2.50

Properties
The value obtained for the total moment is 0.51 μB/cell. The formation energy comes out at -0.8014 eV/atom. The value obtained for the density of states at the Fermi level is 9.26 states/eV/cell. The value obtained for the total energy is -65.37 eV for the cell shown.

***

KAlZn3: relaxed, PBE.

Lattice parameters (Å, degrees): 5.8759 5.8759 5.8759 90.00 90.00 90.00
Closest atoms and distances in Å follow each position.
Sites, in units of the cell vectors:
Zn 0.0000 0.0000 0.5000  2 K 2.94
Zn 0.0000 0.5000 0.0000  2 K 2.94
Zn 0.5000 0.0000 0.0000  2 K 2.94
Al 0.5000 0.5000 0.5000  12 Zn 4.15
K 0.0000 0.0000 0.0000  6 Zn 2.94

Properties
The value obtained for the total moment is 0.00 μB/cell. The formation energy comes out at 1.0875 eV/atom. The value obtained for the density of states at the Fermi level is 6.08 states/eV/cell. The value obtained for the total energy is -3.22 eV for the cell shown.

***

Ce7Ir2Pt2: relaxed, PBE.

Lattice parameters (Å, degrees): 6.6482 6.7044 6.6482 90.00 106.74 90.00
Closest atoms and distances in Å follow each position.
Sites, in units of the cell vectors:
Ce 0.4999 0.2863 0.5001  1 Ce 2.86, 2 Ir 2.96, 2 Pt 2.99
Ce 0.5002 0.7147 0.9999  2 Ir 2.79, 1 Ce 2.88, 2 Pt 3.10
Ce 0.0001 0.7147 0.4998  2 Ir 2.79, 1 Ce 2.88, 2 Pt 3.10
Ce 0.9999 0.2853 0.5002  2 Ir 2.79, 1 Ce 2.88, 2 Pt 3.10
Ce 0.5001 0.7137 0.4999  1 Ce 2.86, 2 Ir 2.96, 2 Pt 2.99
Ce 0.4998 0.2853 0.0001  2 Ir 2.79, 1 Ce 2.88, 2 Pt 3.10
Ce 0.0000 0.0000 0.0000  2 Ir 3.08
Ir 0.7111 0.0000 0.2889  7 Ce 2.79-3.08
Ir 0.2889 0.0000 0.7111  7 Ce 2.79-3.08
Pt 0.8306 0.5000 0.8306  1 Pt 2.69, 2 Ce 2.99
Pt 0.1694 0.5000 0.1694  1 Pt 2.69, 2 Ce 2.99

Properties
The value obtained for the total moment is 2.81 μB/cell. The formation energy comes out at -0.5313 eV/atom. The value obtained for the density of states at the Fermi level is 30.23 states/eV/cell. The value obtained for the total energy is -77.19 eV for the cell shown.

***

CeSiNi2Pt2: relaxed, PBE.

Lattice parameters (Å, degrees): 4.5568 4.5568 5.3781 90.00 90.00 90.00
Closest atoms and distances in Å follow each position.
Sites, in units of the cell vectors:
Pt 0.0000 0.5000 0.0000  2 Si 2.28
Pt 0.5000 0.0000 0.0000  2 Si 2.28
Ni 0.5000 0.5000 0.7380  2 Ni 2.56-2.82, 4 Pt 2.68
Ni 0.5000 0.5000 0.2620  2 Ni 2.56-2.82, 4 Pt 2.68
Ce 0.0000 0.0000 0.5000  2 Si 2.69
Si 0.0000 0.0000 0.0000  4 Pt 2.28

Properties
The value obtained for the total moment is 0.08 μB/cell. The value obtained for the density of states at the Fermi level is 10.73 states/eV/cell. The value obtained for the total energy is -35.62 eV for the cell shown. The raw formation energy is -59 kJ/mol of formula units.

***

YAsRh3: relaxed, PBE.

Lattice parameters (Å, degrees): 4.5894 4.5894 4.5894 90.00 90.00 90.00
Closest atoms and distances in Å follow each position.
Sites, in units of the cell vectors:
Rh 0.0000 0.0000 0.5000  2 As 2.29
Rh 0.5000 0.0000 0.0000  2 As 2.29
Rh 0.0000 0.5000 0.0000  2 As 2.29
As 0.0000 0.0000 0.0000  6 Rh 2.29
Y 0.5000 0.5000 0.5000  12 Rh 3.25

Properties
The value obtained for the total moment is 0.00 μB/cell. The formation energy comes out at -0.3515 eV/atom. The value obtained for the density of states at the Fermi level is 7.74 states/eV/cell. The value obtained for the total energy is -34.93 eV for the cell shown.

***

Li2CrMoSe: relaxed, PBE.

Lattice parameters (Å, degrees): 4.2343 4.8551 4.2343 90.00 90.00 90.00
Closest atoms and distances in Å follow each position.
Sites, in units of the cell vectors:
Li 0.5000 0.0000 0.0000  2 Se 2.12
Li 0.0000 0.0000 0.5000  2 Se 2.12
Se 0.0000 0.0000 0.0000  4 Li 2.12
Mo 0.0000 0.5000 0.0000  2 Se 2.43
Cr 0.5000 0.5000 0.5000  4 Mo 2.99, 8 Li 3.22

Properties
The value obtained for the total moment is 0.23 μB/cell. The value obtained for the density of states at the Fermi level is 5.22 states/eV/cell. The value obtained for the total energy is -23.70 eV for the cell shown. The raw formation energy is 392 kJ/mol of formula units.

***

AcSm2In3Te6: relaxed, PBE.

Lattice parameters (Å, degrees): 7.9379 7.9379 8.5279 98.93 98.93 119.93
Closest atoms and distances in Å follow each position.
Sites, in units of the cell vectors:
Te 0.7268 0.7268 0.2242  2 Sm 3.17, 1 Ac 3.31, 3 In 3.38-3.48
Te 0.4239 0.0762 0.2282  2 Sm 3.18, 1 Ac 3.32, 3 In 3.38-3.49
Te 0.9238 0.5761 0.7718  2 Sm 3.18, 1 Ac 3.32, 3 In 3.38-3.49
Te 0.0762 0.4239 0.2282  2 Sm 3.18, 1 Ac 3.32, 3 In 3.38-3.49
Te 0.5761 0.9238 0.7718  2 Sm 3.18, 1 Ac 3.32, 3 In 3.38-3.49
Te 0.2732 0.2732 0.7758  2 Sm 3.17, 1 Ac 3.31, 3 In 3.38-3.48
Ac 0.0000 0.0000 0.0000  6 Te 3.31-3.32
In 0.8362 0.1638 0.5000  6 Te 3.38-3.49
In 0.1638 0.8362 0.5000  6 Te 3.38-3.49
In 0.5000 0.5000 0.5000  6 Te 3.38-3.49
Sm 0.6670 0.3330 0.0000  6 Te 3.17-3.18
Sm 0.3330 0.6670 0.0000  6 Te 3.17-3.18

Properties
The value obtained for the total moment is 0.00 μB/cell. The value obtained for the density of states at the Fermi level is 0.00 states/eV/cell. The value obtained for the total energy is -52.67 eV for the cell shown. The raw formation energy is -1163 kJ/mol of formula units.

***

LiMg2SnO: relaxed, PBE.

Lattice parameters (Å, degrees): 4.2996 4.2996 4.3404 90.00 90.00 90.00
Closest atoms and distances in Å follow each position.
Sites, in units of the cell vectors:
Sn 0.5000 0.5000 0.5000  4 Li 3.04, 8 Mg 3.05
O 0.0000 0.0000 0.0000  4 Mg 2.15, 2 Li 2.17
Mg 0.5000 0.0000 0.0000  2 O 2.15
Mg 0.0000 0.5000 0.0000  2 O 2.15
Li 0.0000 0.0000 0.5000  2 O 2.17

Properties
The value obtained for the total moment is 0.00 μB/cell. The value obtained for the density of states at the Fermi level is 1.00 states/eV/cell. The value obtained for the total energy is -19.52 eV for the cell shown. The raw formation energy is -526 kJ/mol of formula units.

***

Ba2EuSn: relaxed, PBE.

Lattice parameters (Å, degrees): 4.4798 4.4798 8.8423 90.00 90.00 90.00
Closest atoms and distances in Å follow each position.
Sites, in units of the cell vectors:
Sn 0.5000 0.5000 0.0000  8 Ba 3.65
Eu 0.5000 0.5000 0.5000  8 Ba 4.10, 2 Sn 4.42, 4 Eu 4.48
Ba 0.0000 0.0000 0.7952  1 Ba 3.62, 4 Sn 3.65
Ba 0.0000 0.0000 0.2048  1 Ba 3.62, 4 Sn 3.65

Properties
The value obtained for the total moment is 7.89 μB/cell. The formation energy comes out at -0.2623 eV/atom. The value obtained for the density of states at the Fermi level is 4.03 states/eV/cell. The value obtained for the total energy is -19.17 eV for the cell shown.

***

PaAlRe2: relaxed, PBE.

Lattice parameters (Å, degrees): 3.3674 3.3674 6.2211 90.00 90.00 90.00
Closest atoms and distances in Å follow each position.
Sites, in units of the cell vectors:
Re 0.0000 0.0000 0.2272  4 Al 2.77, 1 Re 2.83, 4 Pa 2.92
Re 0.0000 0.0000 0.7728  4 Al 2.77, 1 Re 2.83, 4 Pa 2.92
Al 0.5000 0.5000 0.0000  8 Re 2.77
Pa 0.5000 0.5000 0.5000  8 Re 2.92, 2 Al 3.11

Properties
The value obtained for the total moment is 0.00 μB/cell. The formation energy comes out at 0.0884 eV/atom. The value obtained for the density of states at the Fermi level is 4.42 states/eV/cell. The value obtained for the total energy is -37.78 eV for the cell shown.

***

YTl2Pd8: relaxed, PBE.

Lattice parameters (Å, degrees): 4.9695 8.0483 8.0483 124.25 107.70 107.70
Closest atoms and distances in Å follow each position.
Sites, in units of the cell vectors:
Pd 0.5000 0.1972 0.8028  1 Y 2.81, 6 Pd 2.86-3.04, 4 Tl 2.86-2.99
Pd 0.2166 0.1029 0.3678  5 Pd 2.68-2.91, 2 Tl 2.91-2.92
Pd 0.7834 0.6322 0.8971  5 Pd 2.68-2.91, 2 Tl 2.91-2.92
Pd 0.7834 0.8971 0.6322  5 Pd 2.68-2.91, 2 Tl 2.91-2.92
Pd 0.7219 0.4688 0.4688  6 Pd 2.48-2.78
Pd 0.5000 0.8028 0.1972  1 Y 2.81, 6 Pd 2.86-3.04, 4 Tl 2.86-2.99
Pd 0.2781 0.5312 0.5312  6 Pd 2.48-2.78
Pd 0.2166 0.3678 0.1029  5 Pd 2.68-2.91, 2 Tl 2.91-2.92
Tl 0.0000 0.3146 0.6854  12 Pd 2.86-3.10
Tl 0.0000 0.6854 0.3146  12 Pd 2.86-3.10
Y 0.5000 0.0000 0.0000  4 Pd 2.81-2.93

Properties
The value obtained for the total moment is 0.00 μB/cell. The formation energy comes out at -0.2911 eV/atom. The value obtained for the density of states at the Fermi level is 5.39 states/eV/cell. The value obtained for the total energy is -55.94 eV for the cell shown.